The following is a PBE+U calculation of a geometry-optimized CsVAgF6 structure, from the Alexandria database.

abc: 5.3856 6.0375 6.1285
angles: 61.05 88.74 89.34
Space group P1 (No. 1)
One atom of each set of equivalent atoms:
Cs1 0.0000 0.0000 0.0000 [1 per cell]
V1 0.3915 0.3498 0.3495 [1 per cell]
Ag1 0.4671 0.6514 0.6567 [1 per cell]
F1 0.1194 0.4572 0.4635 [1 per cell]
F2 0.2312 0.0320 0.4572 [1 per cell]
F3 0.2387 0.4882 0.0283 [1 per cell]
F4 0.5322 0.2210 0.6713 [1 per cell]
F5 0.5404 0.6720 0.2541 [1 per cell]
F6 0.6567 0.2522 0.2272 [1 per cell]

Calculated total energy in eV per atom: -4.912
Spin magnetization in μB/f.u.: 0.94